Entry from Alexandria via LeMat-Bulk: a geometry-optimized Pm4H9Se2 structure (PBE).

* DFT total energy: -68.09 eV/cell
* total magnetic moment: 0.000 μB/atom

a = 3.8728 Å, b = 3.8728 Å, c = 14.7162 Å
α = 90.00°, β = 90.00°, γ = 120.00°
Space group P-3m1 (No. 164)
Inequivalent atoms, fractional coordinates:
1 Pm 0.3333 0.6667 0.1132 x2
2 Pm 0.3333 0.6667 0.3910 x2
3 H 0.0000 0.0000 0.1006 x2
4 H 0.0000 0.0000 0.3705 x2
5 H 0.0000 0.0000 0.5000 x1
6 H 0.3333 0.6667 0.5471 x2
7 H 0.3333 0.6667 0.9544 x2
8 Se 0.3333 0.6667 0.7503 x2